Compound: Co2BiPtO8
Source: Alexandria
Functional: GGA+U
Structure: relaxed

Unit cell a=5.796 b=5.796 c=5.796 alpha=110.12 beta=110.12 gamma=108.18
Each line ends with the local moment (μB).
Fractional positions:
1 O 0.503 0.701 0.802  0.32
2 O 0.299 0.101 0.802  0.32
3 O 0.749 0.064 0.684  0.29
4 O 0.899 0.701 0.198  0.32
5 O 0.936 0.251 0.316  0.29
6 O 0.936 0.620 0.684  0.29
7 O 0.380 0.064 0.316  0.29
8 O 0.299 0.497 0.198  0.32
9 Co 0.750 0.250 0.500  2.76
10 Co 0.500 0.500 0.000  2.81
11 Bi 0.000 0.000 0.000  0.04
12 Pt 0.250 0.750 0.500  0.45

Values from the calculation:
Raw total energy   -64.5 eV for the cell shown
D(E_F)   0.483 states/eV per atom